First-principles (PBEsol) data for a relaxed structure of Hf3ReAs, as listed in Alexandria.

Unit cell a=4.772 b=4.772 c=4.772 alpha=90.00 beta=90.00 gamma=90.00
Atoms (fractional coordinates):
1 Re 0.500 0.500 0.500
2 Hf 0.500 0.000 0.000
3 As 0.000 0.000 0.000
4 Hf 0.000 0.000 0.500
5 Hf 0.000 0.500 0.000

Computed properties:
ΔH_f (0 K) (eV/atom): 0.694
V (A^3/atom): 21.74
Size of the total moment (μB/f.u.): 0.87